(1)
The following is a GGA-PBE calculation of a relaxed structure of AcAg2Au, from Alexandria via LeMat-Bulk.

```
AcAg2Au
1.0
3.755 0.000 0.000
0.000 3.755 0.000
0.000 0.000 6.857
Ag Ac Au
2 1 1
Direct
0.000 0.000 0.798 Ag
0.000 0.000 0.202 Ag
0.500 0.500 0.500 Ac
0.500 0.500 0.000 Au
```

Output
Energy, eV per cell: -13.8
Total magnetic moment, μB/cell: 0.0
Offset from the most stable computed form, eV/f.u.: 1.01
Formation energy from the elements, meV per atom: -177.6


(2)
The following is a GGA-PBE calculation of a relaxed structure of MgOs4, from Alexandria via LeMat-Bulk.

```
MgOs4
1.0
-0.167 -4.326 0.332
0.781 -0.357 -4.256
4.268 -0.104 0.792
Os Mg
4 1
Direct
0.500 0.000 0.500 Os
0.000 0.500 0.500 Os
0.000 0.000 0.000 Os
0.500 0.500 0.000 Os
0.500 0.500 0.500 Mg
```

Output
Energy, eV per cell: -34.1
Total magnetic moment, μB/cell: 0.0
Offset from the most stable computed form, eV/f.u.: 10.96
Formation energy from the elements, meV per atom: 2489.8


(3)
The following is a GGA-PBE calculation of a relaxed structure of Y3Zr3TaN8, from Alexandria via LeMat-Bulk.

```
Y3Zr3TaN8
1.0
6.558 0.000 0.000
-3.279 5.680 -0.020
0.000 -3.767 5.554
Zr Y N Ta
3 3 8 1
Direct
0.500 0.000 0.500 Zr
0.500 0.500 0.500 Zr
0.000 0.500 0.500 Zr
0.500 0.500 0.000 Y
0.000 0.000 0.000 Y
0.000 0.500 0.000 Y
0.228 0.457 0.715 N
0.242 0.013 0.285 N
0.772 0.013 0.285 N
0.758 0.987 0.715 N
0.772 0.543 0.285 N
0.744 0.489 0.733 N
0.228 0.987 0.715 N
0.256 0.511 0.267 N
0.000 0.000 0.500 Ta
```

Output
Energy, eV per cell: -146.9
E_form (uncorrected), eV per atom: -1.558
Total magnetic moment, μB/cell: 0.0


(4)
The following is a GGA-PBE calculation of a relaxed structure of Ta2AsOs, from Alexandria via LeMat-Bulk.

```
Ta2AsOs
1.0
-0.008 -3.187 0.845
3.282 -0.088 -0.300
0.592 1.594 6.022
As Ta Os
1 2 1
Direct
0.000 0.000 0.470 As
0.500 0.500 0.280 Ta
0.000 0.000 0.978 Ta
0.500 0.500 0.773 Os
```

Output
Energy, eV per cell: -39.9
Total magnetic moment, μB/cell: 0.0
Formation energy from the elements, meV per atom: -67.5


(5)
The following is a GGA-PBE calculation of a relaxed structure of Li5GaGe3, from Alexandria via LeMat-Bulk.

```
Li5GaGe3
1.0
7.776 -0.144 1.025
1.991 7.519 1.025
4.366 3.296 7.198
Li Ge Ga
10 6 2
Direct
0.079 0.607 0.586 Li
0.921 0.393 0.414 Li
0.159 0.159 0.096 Li
0.841 0.841 0.904 Li
0.501 0.501 0.249 Li
0.393 0.921 0.414 Li
0.266 0.734 0.000 Li
0.499 0.499 0.751 Li
0.607 0.079 0.586 Li
0.734 0.266 0.000 Li
0.666 0.666 0.827 Ge
0.340 0.340 0.670 Ge
0.000 0.000 0.000 Ge
0.000 0.000 0.500 Ge
0.660 0.660 0.330 Ge
0.334 0.334 0.173 Ge
0.819 0.819 0.418 Ga
0.181 0.181 0.582 Ga
```

Output
Energy, eV per cell: -55.3
Total magnetic moment, μB/cell: 0.0
Formation energy from the elements, meV per atom: -131.1